[1]
First-principles (PBE-GGA) data for a relaxed NdThC2 crystal, as listed in Alexandria via LeMat-Bulk.

Cell lengths 3.6705, 3.6705, 19.0992 Å; angles 90.00, 90.00, 120.00 degrees
Space group R3m (No. 160, hexagonal axes)
Inequivalent atoms, fractional coordinates:
Nd: 0.0000 0.0000 0.0000 [3 per cell]
Th: 0.0000 0.0000 0.8297 [3 per cell]
C: 0.0000 0.0000 0.4196 [3 per cell]
C: 0.0000 0.0000 0.5802 [3 per cell]

Results
* polymorph energy (0 for the lowest one): 175 meV/atom
* energy of formation: 150 meV/atom
* crystal system: trigonal
* DFT total energy: -7.508 eV/atom

[2]
First-principles (PBE-GGA) data for a relaxed ErNpPaAl crystal, as listed in Alexandria via LeMat-Bulk.

Cell lengths 7.207, 7.207, 7.207 Å; angles 90.00, 90.00, 90.00 degrees
Space group F-43m (No. 216)
Inequivalent atoms, fractional coordinates:
Er: 0.000 0.000 0.000 [4 per cell]
Np: 0.250 0.250 0.250 [4 per cell]
Pa: 0.000 0.000 0.500 [4 per cell]
Al: 0.250 0.250 0.750 [4 per cell]

Results
* energy of formation: 220 meV/atom
* crystal system: cubic
* DFT total energy: -7.465 eV/atom

[3]
First-principles (PBE-GGA) data for a relaxed Ir2WBr crystal, as listed in Alexandria via LeMat-Bulk.

Cell lengths 6.428, 6.428, 6.428 Å; angles 90.00, 90.00, 90.00 degrees
Space group Fm-3m (No. 225)
Inequivalent atoms, fractional coordinates:
Ir: 0.250 0.250 0.250 [8 per cell]
W: 0.000 0.000 0.000 [4 per cell]
Br: 0.000 0.000 0.500 [4 per cell]

Results
* polymorph energy (0 for the lowest one): 854 meV/atom
* uncorrected formation energy: 1106 meV/atom
* crystal system: cubic
* DFT total energy: -6.981 eV/atom

[4]
First-principles (PBE-GGA) data for a relaxed Tm3Hg2Ir crystal, as listed in Alexandria via LeMat-Bulk.

Cell lengths 15.222, 5.403, 3.773 Å; angles 90.00, 96.30, 90.00 degrees
Space group C2/m (No. 12)
Inequivalent atoms, fractional coordinates:
Tm: 0.000 0.000 0.000 [2 per cell]
Tm: 0.131 0.500 0.552 [4 per cell]
Hg: 0.198 0.000 0.875 [4 per cell]
Ir: 0.000 0.500 0.000 [2 per cell]

Results
* polymorph energy (0 for the lowest one): 105 meV/atom
* energy of formation: -545 meV/atom
* crystal system: monoclinic
* DFT total energy: -4.358 eV/atom

[5]
First-principles (PBE-GGA) data for a relaxed GdSc2Be crystal, as listed in Alexandria via LeMat-Bulk.

Cell lengths 3.244, 3.244, 8.390 Å; angles 90.00, 90.00, 90.00 degrees
Space group P4/mmm (No. 123)
Inequivalent atoms, fractional coordinates:
Gd: 0.000 0.000 0.000 [1 per cell]
Sc: 0.500 0.500 0.317 [2 per cell]
Be: 0.000 0.000 0.500 [1 per cell]

Results
* polymorph energy (0 for the lowest one): 0 meV/atom
* energy of formation: 35 meV/atom
* crystal system: tetragonal
* DFT total energy: -7.583 eV/atom

[6]
First-principles (PBE-GGA) data for a relaxed La2Au crystal, as listed in Alexandria via LeMat-Bulk.

Cell lengths 14.384, 14.384, 14.384 Å; angles 90.00, 90.00, 90.00 degrees
Space group Fd-3m (No. 227, origin choice 2)
Inequivalent atoms, fractional coordinates:
La: 0.000 0.000 0.000 [16 per cell]
La: 0.065 0.375 0.875 [48 per cell]
Au: 0.026 0.026 0.224 [32 per cell]

Results
* energy of formation: -512 meV/atom
* crystal system: cubic
* DFT total energy: -4.889 eV/atom

[7]
First-principles (PBE-GGA) data for a relaxed LaAg2PIr crystal, as listed in Alexandria via LeMat-Bulk.

Cell lengths 5.180, 5.180, 4.375 Å; angles 90.00, 90.00, 90.00 degrees
Space group P4/mmm (No. 123)
Inequivalent atoms, fractional coordinates:
La: 0.000 0.000 0.000 [1 per cell]
Ag: 0.000 0.500 0.500 [2 per cell]
P: 0.500 0.500 0.000 [1 per cell]
Ir: 0.500 0.500 0.500 [1 per cell]

Results
* energy of formation: -109 meV/atom
* crystal system: tetragonal
* DFT total energy: -5.089 eV/atom

[8]
First-principles (PBE-GGA) data for a relaxed Ac2NiGeN crystal, as listed in Alexandria via LeMat-Bulk.

Cell lengths 6.768, 4.062, 8.861 Å; angles 90.00, 108.59, 90.00 degrees
Space group P2_1/m (No. 11)
Inequivalent atoms, fractional coordinates:
Ac: 0.213 0.250 0.387 [2 per cell]
Ac: 0.224 0.250 0.965 [2 per cell]
Ni: 0.462 0.750 0.243 [2 per cell]
Ge: 0.323 0.750 0.697 [2 per cell]
N: 0.164 0.750 0.166 [2 per cell]

Results
* uncorrected formation energy: -783 meV/atom
* crystal system: monoclinic
* DFT total energy: -6.171 eV/atom

Computed DOS at the Fermi energy (states/eV/f.u.) in order:
3.83, 12.23, 5.04, 3.86, 4.49, 3.60, 3.25, 4.08